Material: Ca2CrFeO5
Method: DFT, PBE+U
State: relaxed

The structure in POSCAR format:
```
Ca2CrFeO5
1.0
-3.898 2.347 -3.135
2.450 -2.122 -4.635
-8.247 -12.110 1.187
Ca O Fe Cr
8 20 4 4
direct
0.465 0.021 0.108
0.465 0.021 0.392
0.535 0.979 0.608
0.535 0.979 0.892
0.035 0.521 0.892
0.965 0.479 0.392
0.035 0.521 0.608
0.965 0.479 0.108
0.221 0.722 0.020
0.030 0.079 0.140
0.530 0.421 0.360
0.279 0.222 0.980
0.779 0.278 0.980
0.721 0.778 0.480
0.470 0.579 0.640
0.596 0.875 0.250
0.970 0.921 0.640
0.279 0.222 0.520
0.221 0.722 0.480
0.404 0.125 0.750
0.904 0.375 0.750
0.970 0.921 0.860
0.530 0.421 0.140
0.721 0.778 0.020
0.030 0.079 0.360
0.470 0.579 0.860
0.779 0.278 0.520
0.096 0.625 0.250
0.945 0.936 0.250
0.055 0.064 0.750
0.445 0.564 0.250
0.555 0.436 0.750
0.500 0.500 0.500
0.000 0.000 0.000
0.000 0.000 0.500
0.500 0.500 0.000
```

Properties
M_tot: 8.000 μB per formula unit
calculated total energy: -6.953 eV/atom